# Pm5Pr6In

A geometry-optimized Pm5Pr6In structure (PBE, Alexandria via LeMat-Bulk).

**Formation energy from the elements**: -0.061 eV per atom
**Space-group type**: Immm, No. 71

```
Pm5Pr6In
1.0
-2.551 5.140 7.787
2.551 -5.140 7.787
2.551 5.140 -7.787
Pm Pr In
5 6 1
Direct
0.000 0.000 0.000 Pm
0.164 0.664 0.500 Pm
0.333 0.333 0.000 Pm
0.667 0.667 0.000 Pm
0.836 0.336 0.500 Pm
0.093 0.836 0.256 Pr
0.257 0.500 0.757 Pr
0.420 0.164 0.256 Pr
0.580 0.836 0.744 Pr
0.743 0.500 0.243 Pr
0.907 0.164 0.744 Pr
0.500 0.000 0.500 In
```